# ZnCoO2 (PBE+U, optimized geometry)
data_ZnCoO2
_chemical_formula_sum 'Zn2 Co2 O4'
_space_group_name_H-M_alt 'P 1'
_space_group_IT_number 1
_cell_length_a 6.704
_cell_length_b 6.689
_cell_length_c 2.945
_cell_angle_alpha 62.88
_cell_angle_beta 61.83
_cell_angle_gamma 53.81
loop_
_space_group_symop_operation_xyz
'x,y,z'
loop_
_atom_site_label
_atom_site_type_symbol
_atom_site_fract_x
_atom_site_fract_y
_atom_site_fract_z
Zn1 Zn 0.321 0.927 0.235
Zn2 Zn 0.821 0.427 0.736
Co1 Co 0.821 0.927 0.735
Co2 Co 0.321 0.427 0.235
O1 O 0.187 0.192 0.604
O2 O 0.965 0.693 0.333
O3 O 0.676 0.161 0.137
O4 O 0.454 0.661 0.867
# ρ: 5.7 g/cm³
# energy: -5.01 eV per atom
# D(E_F): 0.0 states/eV/f.u.